Entry 1:
{"formula": "K3FeSb", "functional": "PBE", "state": "optimized geometry", "lattice": [[-0.5448, -5.3276, -4.0670], [-1.0269, -3.9659, 5.3327], [-6.6234, 1.0531, -0.4923]], "species": ["Sb", "K", "K", "K", "Fe"], "frac_coords": [[0.0000, 0.0000, 0.0000], [0.0000, 0.5000, 0.0000], [0.0000, 0.0000, 0.5000], [0.5000, 0.0000, 0.0000], [0.5000, 0.5000, 0.5000]], "e_above_lowest_polymorph_mev_per_atom": 0.0}

Entry 2:
{"formula": "Rb2MnAg", "functional": "PBE", "state": "optimized geometry", "lattice": [[12.9513, 0.0000, 0.0000], [0.0000, 12.9513, 0.0000], [6.4756, 6.4756, 2.6181]], "species": ["Mn", "Mn", "Rb", "Rb", "Rb", "Rb", "Ag", "Ag"], "frac_coords": [[0.5000, 0.5000, 0.0000], [0.2500, 0.7500, 0.5000], [0.7910, 0.1250, 0.2500], [0.9590, 0.6250, 0.2500], [0.3750, 0.2090, 0.7500], [0.8750, 0.0410, 0.7500], [0.0000, 0.0000, 0.0000], [0.7500, 0.2500, 0.5000]], "total_energy_ev_per_cell": -23.1}

Entry 3:
{"formula": "B5I", "functional": "PBE", "state": "optimized geometry", "lattice": [[-0.0937, -0.5034, -6.7457], [4.8422, -2.2229, 4.1686], [-3.3013, -10.1880, -0.1121]], "species": ["B", "B", "B", "B", "B", "B", "B", "B", "B", "B", "B", "B", "B", "B", "B", "B", "B", "B", "B", "B", "I", "I", "I", "I"], "frac_coords": [[0.5655, 0.7183, 0.7234], [0.2817, 0.4345, 0.7766], [0.4345, 0.2817, 0.2766], [0.7183, 0.5655, 0.2234], [0.5060, 0.0870, 0.6877], [0.9130, 0.4940, 0.8123], [0.4940, 0.9130, 0.3123], [0.0870, 0.5060, 0.1877], [0.4475, 0.0556, 0.5463], [0.9444, 0.5525, 0.9537], [0.5525, 0.9444, 0.4537], [0.0556, 0.4475, 0.0463], [0.5494, 0.9048, 0.6115], [0.0952, 0.4506, 0.8885], [0.4506, 0.0952, 0.3885], [0.9048, 0.5494, 0.1115], [0.7166, 0.0267, 0.7322], [0.9733, 0.2834, 0.7678], [0.2834, 0.9733, 0.2678], [0.0267, 0.7166, 0.2322], [0.8726, 0.6719, 0.6437], [0.3281, 0.1274, 0.8563], [0.1274, 0.3281, 0.3563], [0.6719, 0.8726, 0.1437]], "total_energy_ev_per_cell": -124.3}

Entry 4:
{"formula": "Ce2GaNi", "functional": "PBE", "state": "optimized geometry", "lattice": [[-0.4219, -3.4643, 0.6466], [3.3102, -0.6130, -1.1245], [2.3342, 0.9059, 6.3771]], "species": ["Ni", "Ga", "Ce", "Ce"], "frac_coords": [[0.5000, 0.5000, 0.0000], [0.5000, 0.5000, 0.5000], [0.0000, 0.0000, 0.7845], [0.0000, 0.0000, 0.2155]], "total_energy_ev_per_cell": -22.1}

Fermi-level density of states readings, ordered: 4.099, 7.817, 3.798, 6.256 states/eV/cell
Volume readings, ordered: 60.819, 54.893, 16.039, 21.577 A^3/atom